Entry from the Alexandria database: crystalline SrV2GaTe at its relaxed geometry (PBE).

Cell lengths 5.1035, 5.8966, 5.1035 Å; angles 90.00, 90.00, 90.00 degrees
Site moments in Bohr magnetons follow the coordinates.
Sites, in units of the cell vectors:
1 Te 0.0000 0.0000 0.0000  -0.11
2 Sr 0.5000 0.5000 0.5000  0.01
3 V 0.5000 0.0000 0.0000  2.44
4 V 0.0000 0.0000 0.5000  2.89
5 Ga 0.0000 0.5000 0.0000  -0.07

Symmetry: P4/mmm, No. 123
Energy: -22.70 eV/f.u.
DOS at the Fermi energy: 6.893 states/eV per cell